# 1
Entry from the Alexandria database: a relaxed structure of CaCu2B (GGA-PBE).

abc: 4.6593 4.6593 13.1907
angles: 90.00 90.00 90.00
Last column: nearest neighbours and their distance in Å.
Space group I4_1/amd (No. 141, origin choice 2)
Inequivalent atoms, fractional coordinates:
Ca (0.0000, 0.2500, 0.3750) (multiplicity 4)  8 Cu 3.08, 4 B 3.29
Cu (0.0000, 0.0000, 0.0000) (multiplicity 8)  2 B 2.02
B (0.0000, 0.2500, 0.8750) (multiplicity 4)  4 Cu 2.02

Calculated values
calculated formation energy: 0.63 eV/f.u.
DOS(E_F): 1.966 states/eV/f.u.

# 2
Entry from the Alexandria database: a relaxed structure of La11In9Pt4 (GGA-PBE).

abc: 15.2204 22.8131 3.9132
angles: 90.00 90.00 90.00
Last column: nearest neighbours and their distance in Å.
Space group Cmmm (No. 65)
Inequivalent atoms, fractional coordinates:
La (0.0000, 0.0000, 0.0000) (multiplicity 2)  8 In 3.37, 2 La 3.68
La (0.0000, 0.1611, 0.0000) (multiplicity 4)  8 In 3.42-3.63, 3 La 3.68-3.73
La (0.0000, 0.3733, 0.0000) (multiplicity 4)  4 Pt 3.11
La (0.1897, 0.5000, 0.0000) (multiplicity 4)  4 Pt 3.08
La (0.2443, 0.1715, 0.0000) (multiplicity 8)  2 Pt 2.96
In (0.0000, 0.5000, 0.5000) (multiplicity 2)  4 Pt 3.29, 8 La 3.49
In (0.1015, 0.2634, 0.5000) (multiplicity 8)  1 In 3.09, 1 Pt 3.19, 4 La 3.40-3.42
In (0.1469, 0.0701, 0.5000) (multiplicity 8)  1 Pt 3.11, 1 In 3.20, 4 La 3.37
Pt (0.1541, 0.3987, 0.5000) (multiplicity 8)  6 La 2.96-3.11, 3 In 3.11-3.29

Calculated values
calculated formation energy: -18.86 eV/f.u.
DOS(E_F): 20.325 states/eV/f.u.